Material: CaOsS2Cl
Method: DFT, GGA-PBEsol
State: relaxed

a b c (Å): 5.1291 5.1291 4.8700
angles (deg): 90.00 90.00 90.00
Space group P4/mmm (No. 123)
One atom of each set of equivalent atoms:
Ca1 0.0000 0.0000 0.0000 x1
Os1 0.5000 0.5000 0.5000 x1
S1 0.0000 0.5000 0.0000 x2
Cl1 0.0000 0.0000 0.5000 x1

Summary:
- E_form (uncorrected) (meV per atom) = 1006
- M_tot (μB per atom) = 0.85

***

Material: Zr8Co3Cu
Method: DFT, GGA-PBEsol
State: relaxed

a b c (Å): 5.2691 9.0629 8.9114
angles (deg): 90.00 90.00 90.00
Space group C222 (No. 21)
One atom of each set of equivalent atoms:
Zr1 0.2471 0.0843 0.2571 x8
Zr2 0.2500 0.2500 0.5839 x4
Zr3 0.2500 0.2500 0.9163 x4
Co1 0.0000 0.0000 0.0000 x2
Co2 0.0000 0.0000 0.5000 x2
Co3 0.0000 0.5000 0.5000 x2
Cu1 0.0000 0.5000 0.0000 x2

Summary:
- E_form (meV/atom) = -238
- M_tot (μB per atom) = 0.00

***

Material: CrCoNi2
Method: DFT, GGA-PBEsol
State: relaxed

a b c (Å): 2.4268 2.4268 7.0513
angles (deg): 90.00 90.00 90.00
Space group P4mm (No. 99)
One atom of each set of equivalent atoms:
Cr1 0.0000 0.0000 0.0000 x1
Co1 0.5000 0.5000 0.7534 x1
Ni1 0.0000 0.0000 0.5059 x1
Ni2 0.5000 0.5000 0.2524 x1

Summary:
- E_form (meV/atom) = 27
- M_tot (μB per atom) = 0.33

***

Material: ZrAs2RhSe
Method: DFT, GGA-PBEsol
State: relaxed

a b c (Å): 5.0559 5.0559 4.9904
angles (deg): 90.00 90.00 90.00
Space group P4/mmm (No. 123)
One atom of each set of equivalent atoms:
Zr1 0.0000 0.0000 0.0000 x1
As1 0.0000 0.5000 0.0000 x2
Rh1 0.5000 0.5000 0.5000 x1
Se1 0.0000 0.0000 0.5000 x1

Summary:
- E_form (uncorrected) (meV per atom) = 735
- M_tot (μB per atom) = 0.17

***

Material: Al5Ag7
Method: DFT, GGA-PBEsol
State: relaxed

a b c (Å): 14.0599 5.5928 4.9138
angles (deg): 90.00 92.91 90.00
Space group C2 (No. 5)
One atom of each set of equivalent atoms:
Al1 0.0000 0.0000 0.0000 x2
Al2 0.1631 0.9965 0.6536 x4
Al3 0.1648 0.7318 0.1510 x4
Ag1 0.0000 0.2436 0.5000 x2
Ag2 0.0000 0.5036 0.0000 x2
Ag3 0.0000 0.7533 0.5000 x2
Ag4 0.1667 0.2332 0.1420 x4
Ag5 0.1728 0.4975 0.6418 x4

Summary:
- excess energy over the best structure of this formula in the dataset (eV/atom) = 0.007
- E_form (meV/atom) = -73
- M_tot (μB per atom) = 0.00

***

Material: LaYSc2
Method: DFT, GGA-PBEsol
State: relaxed

a b c (Å): 6.9365 9.0875 3.4829
angles (deg): 90.00 90.00 90.00
Space group Cmmm (No. 65)
One atom of each set of equivalent atoms:
La1 0.0000 0.0000 0.0000 x2
Y1 0.0000 0.5000 0.0000 x2
Sc1 0.2500 0.2500 0.5000 x4

Summary:
- excess energy over the best structure of this formula in the dataset (eV/atom) = 0.000
- E_form (meV/atom) = 45
- M_tot (μB per atom) = 0.00

***

Number 1: VASP energy -20.096 eV for the cell shown. Number 2: VASP energy -206.236 eV for the cell shown. Number 3: VASP energy -30.186 eV for the cell shown. Number 4: VASP energy -27.614 eV for the cell shown. Number 5: VASP energy -89.033 eV for the cell shown. Number 6: VASP energy -50.395 eV for the cell shown.